Entry 1:
Here is an optimized crystal structure of Ca2TaMoOs from Alexandria via LeMat-Bulk. Energies are from PBE.

Cell and atoms, written as POSCAR:
```
Ca2TaMoOs
1.0
5.430 0.000 0.000
0.000 5.430 0.000
0.000 0.000 4.829
Ca Ta Mo Os
2 1 1 1
Direct
0.000 0.500 0.000
0.500 0.000 0.000
0.000 0.000 0.500
0.500 0.500 0.500
0.000 0.000 0.000
```

## Properties
- energy (eV/atom) = -6.291
- calculated volume (Å³/cell) = 142.4
- formation energy from the elements (eV/atom) = 1.292
- D(E_F) (states/eV/atom) = 0.751



Entry 2:
Here is an optimized crystal structure of Ca5Mg3 from Alexandria via LeMat-Bulk. Energies are from PBE.

Cell and atoms, written as POSCAR:
```
Ca5Mg3
1.0
3.230 -9.269 0.000
3.230 9.269 0.000
-3.170 0.000 9.251
Ca Mg
10 6
Direct
0.078 0.719 0.799
0.220 0.421 0.642
0.250 0.250 0.000
0.281 0.922 0.201
0.421 0.220 0.642
0.579 0.780 0.358
0.719 0.078 0.799
0.750 0.750 0.000
0.780 0.579 0.358
0.922 0.281 0.201
0.163 0.163 0.330
0.250 0.750 0.500
0.335 0.665 0.000
0.665 0.335 0.000
0.750 0.250 0.500
0.837 0.837 0.670
```

## Properties
- energy (eV/atom) = -1.880
- calculated volume (Å³/cell) = 553.9
- energy above the lowest structure with this stoichiometry (meV/atom) = 30.9
- formation energy from the elements (eV/atom) = -0.031
- D(E_F) (states/eV/atom) = 1.046



Entry 3:
Here is an optimized crystal structure of Li2ErSc3Se6 from Alexandria via LeMat-Bulk. Energies are from PBE.

Cell and atoms, written as POSCAR:
```
Li2ErSc3Se6
1.0
3.360 -5.821 0.000
3.360 5.821 0.000
-2.245 0.000 6.465
Li Er Sc Se
2 1 3 6
Direct
0.168 0.832 0.000
0.832 0.168 0.000
0.500 0.500 0.000
0.000 0.000 0.500
0.335 0.665 0.500
0.665 0.335 0.500
0.076 0.415 0.746
0.245 0.245 0.254
0.415 0.076 0.746
0.585 0.924 0.254
0.755 0.755 0.746
0.924 0.585 0.254
```

## Properties
- energy (eV/atom) = -5.670
- calculated volume (Å³/cell) = 252.9
- uncorrected formation energy (eV/atom) = -1.645
- D(E_F) (states/eV/atom) = 0.289



Entry 4:
Here is an optimized crystal structure of Th2Ga2Ni15 from Alexandria via LeMat-Bulk. Energies are from PBE.

Cell and atoms, written as POSCAR:
```
Th2Ga2Ni15
1.0
4.190 2.419 4.133
-4.190 2.419 4.133
0.000 -4.838 4.133
Th Ga Ni
2 2 15
Direct
0.151 0.151 0.151
0.849 0.849 0.849
0.398 0.398 0.398
0.602 0.602 0.602
0.000 0.500 0.500
0.156 0.156 0.653
0.156 0.653 0.156
0.202 0.500 0.798
0.202 0.798 0.500
0.347 0.844 0.844
0.500 0.000 0.500
0.500 0.202 0.798
0.500 0.500 0.000
0.500 0.798 0.202
0.653 0.156 0.156
0.798 0.202 0.500
0.798 0.500 0.202
0.844 0.347 0.844
0.844 0.844 0.347
```

## Properties
- energy (eV/atom) = -5.974
- calculated volume (Å³/cell) = 251.3
- formation energy from the elements (eV/atom) = -0.310
- D(E_F) (states/eV/atom) = 1.423



Entry 5:
Here is an optimized crystal structure of ZrPaSe3 from Alexandria via LeMat-Bulk. Energies are from PBE.

Cell and atoms, written as POSCAR:
```
ZrPaSe3
1.0
3.375 -5.956 0.000
3.375 5.956 0.000
-2.295 0.000 6.288
Zr Pa Se
2 2 6
Direct
0.171 0.829 0.000
0.829 0.171 0.000
0.334 0.666 0.500
0.666 0.334 0.500
0.095 0.409 0.760
0.241 0.241 0.241
0.409 0.095 0.760
0.591 0.905 0.240
0.759 0.759 0.759
0.905 0.591 0.240
```

## Properties
- energy (eV/atom) = -7.043
- calculated volume (Å³/cell) = 252.8
- energy above the lowest structure with this stoichiometry (meV/atom) = 0.0
- uncorrected formation energy (eV/atom) = -1.344
- D(E_F) (states/eV/atom) = 0.674



Entry 6:
Here is an optimized crystal structure of Zr6Ni2N from Alexandria via LeMat-Bulk. Energies are from PBE.

Cell and atoms, written as POSCAR:
```
Zr6Ni2N
1.0
5.485 -1.661 0.000
5.485 1.661 0.000
-0.268 0.000 8.973
Zr Ni N
6 2 1
Direct
0.071 0.071 0.244
0.365 0.365 0.443
0.369 0.369 0.058
0.631 0.631 0.942
0.635 0.635 0.557
0.929 0.929 0.756
0.238 0.238 0.748
0.762 0.762 0.252
0.000 0.000 0.000
```

## Properties
- energy (eV/atom) = -8.529
- calculated volume (Å³/cell) = 163.5
- uncorrected formation energy (eV/atom) = -0.620
- D(E_F) (states/eV/atom) = 0.816



Entry 7:
Here is an optimized crystal structure of LiZn3Pd2 from Alexandria via LeMat-Bulk. Energies are from PBE.

Cell and atoms, written as POSCAR:
```
LiZn3Pd2
1.0
4.309 0.000 0.000
-2.154 3.732 0.000
0.000 0.000 10.682
Li Zn Pd
2 6 4
Direct
0.333 0.667 0.167
0.667 0.333 0.833
0.000 0.000 0.250
0.000 0.000 0.750
0.333 0.667 0.417
0.333 0.667 0.916
0.667 0.333 0.084
0.667 0.333 0.583
0.000 0.000 0.000
0.000 0.000 0.500
0.333 0.667 0.670
0.667 0.333 0.330
```

## Properties
- energy (eV/atom) = -3.173
- calculated volume (Å³/cell) = 171.8
- energy above the lowest structure with this stoichiometry (meV/atom) = 0.0
- formation energy from the elements (eV/atom) = -0.486
- D(E_F) (states/eV/atom) = 0.356



Entry 8:
Here is an optimized crystal structure of Ba3LiIn2 from Alexandria via LeMat-Bulk. Energies are from PBE.

Cell and atoms, written as POSCAR:
```
Ba3LiIn2
1.0
4.341 0.000 0.000
0.000 4.341 0.000
0.000 0.000 12.788
Ba Li In
3 1 2
Direct
0.000 0.000 0.000
0.000 0.000 0.319
0.000 0.000 0.681
0.500 0.500 0.500
0.500 0.500 0.159
0.500 0.500 0.841
```

## Properties
- energy (eV/atom) = -2.467
- calculated volume (Å³/cell) = 241.0
- energy above the lowest structure with this stoichiometry (meV/atom) = 2.5
- formation energy from the elements (eV/atom) = -0.274
- D(E_F) (states/eV/atom) = 0.654